Entry from Alexandria via LeMat-Bulk: a relaxed structure of CePmGaPb (PBE).

a = 7.623 Å, b = 7.623 Å, c = 7.623 Å
α = 90.00°, β = 90.00°, γ = 90.00°
Positions (direct):
Ce: 0.000 0.000 0.000
Ce: 0.000 0.500 0.500
Ce: 0.500 0.000 0.500
Ce: 0.500 0.500 0.000
Pm: 0.000 0.000 0.500
Pm: 0.000 0.500 0.000
Pm: 0.500 0.000 0.000
Pm: 0.500 0.500 0.500
Ga: 0.250 0.250 0.250
Ga: 0.250 0.750 0.750
Ga: 0.750 0.250 0.750
Ga: 0.750 0.750 0.250
Pb: 0.250 0.250 0.750
Pb: 0.250 0.750 0.250
Pb: 0.750 0.250 0.250
Pb: 0.750 0.750 0.750

---

Entry from Alexandria via LeMat-Bulk: a relaxed structure of Ce2Ga3Pt4Pb (PBE).

a = 4.184 Å, b = 4.184 Å, c = 11.608 Å
α = 90.00°, β = 90.00°, γ = 90.00°
Positions (direct):
Ce: 0.000 0.500 0.241
Ce: 0.500 0.000 0.759
Ga: 0.000 0.500 0.875
Ga: 0.500 0.000 0.125
Ga: 0.500 0.500 0.500
Pt: 0.000 0.000 0.000
Pt: 0.000 0.500 0.664
Pt: 0.500 0.000 0.336
Pt: 0.500 0.500 0.000
Pb: 0.000 0.000 0.500

---

| no. | mass density (Mg/m³) | electronic total energy (eV/atom) |
| --- | --- | --- |
| 1 | 8.43 | -4.7641 |
| 2 | 12.07 | -5.6841 |